Run w
B5C7 | PBE | relaxed

Values from the calculation:
Volume   82.3 Å³ per cell
Density of states at the Fermi level   0.145 states/eV/atom
Size of the total moment   0.000 μB per formula unit

The structure in CIF format:
```
data_B5C7
_chemical_formula_sum 'B5 C7'
_symmetry_space_group_name_H-M 'P 1 m 1'
_symmetry_Int_Tables_number 6
_cell_length_a 3.699
_cell_length_b 2.579
_cell_length_c 8.623
_cell_angle_alpha 90.00
_cell_angle_beta 90.38
_cell_angle_gamma 90.00
loop_
_symmetry_equiv_pos_as_xyz
'x,y,z'
'x,-y,z'
loop_
_atom_site_label
_atom_site_type_symbol
_atom_site_fract_x
_atom_site_fract_y
_atom_site_fract_z
B1 B 0.000 0.000 0.000
B2 B 0.024 0.000 0.322
B3 B 0.183 0.000 0.530
B4 B 0.427 0.500 0.125
B5 B 0.579 0.500 0.531
C1 C 0.238 0.000 0.170
C2 C 0.247 0.000 0.841
C3 C 0.490 0.500 0.844
C4 C 0.714 0.500 0.993
C5 C 0.747 0.500 0.703
C6 C 0.919 0.500 0.418
C7 C 0.988 0.000 0.701
```



Run x
B5C7 | PBE | relaxed

Values from the calculation:
Volume   80.5 Å³ per cell
Density of states at the Fermi level   0.140 states/eV/atom
Size of the total moment   0.000 μB per formula unit

The structure in CIF format:
```
data_B5C7
_chemical_formula_sum 'B5 C7'
_symmetry_space_group_name_H-M 'P m m 2'
_symmetry_Int_Tables_number 25
_cell_length_a 2.628
_cell_length_b 7.911
_cell_length_c 3.871
_cell_angle_alpha 90.00
_cell_angle_beta 90.00
_cell_angle_gamma 90.00
loop_
_symmetry_equiv_pos_as_xyz
'x,y,z'
'-x,-y,z'
'-x,y,z'
'x,-y,z'
loop_
_atom_site_label
_atom_site_type_symbol
_atom_site_fract_x
_atom_site_fract_y
_atom_site_fract_z
B1 B 0.000 0.000 0.000
B2 B 0.500 0.137 0.446
B3 B 0.500 0.363 0.795
C1 C 0.000 0.179 0.238
C2 C 0.000 0.336 0.026
C3 C 0.000 0.500 0.268
C4 C 0.500 0.000 0.736
C5 C 0.500 0.500 0.494
```



Most stable structure - run x; separation to the second - 0.076 eV/atom.



Run w
SrRuSe2 | PBE | relaxed

Values from the calculation:
Volume   343.2 Å³ per cell
Density of states at the Fermi level   0.873 states/eV/atom
Size of the total moment   0.230 μB per formula unit

The structure in CIF format:
```
data_SrRuSe2
_chemical_formula_sum 'Sr4 Ru4 Se8'
_symmetry_space_group_name_H-M 'F -4 3 m'
_symmetry_Int_Tables_number 216
_symmetry_space_group_name_Hall 'F -4 2 3'
_cell_length_a 7.001
_cell_length_b 7.001
_cell_length_c 7.001
_cell_angle_alpha 90.00
_cell_angle_beta 90.00
_cell_angle_gamma 90.00
loop_
_atom_site_label
_atom_site_type_symbol
_atom_site_fract_x
_atom_site_fract_y
_atom_site_fract_z
Sr1 Sr 0.000 0.000 0.000
Ru1 Ru 0.250 0.250 0.750
Se1 Se 0.000 0.000 0.500
Se2 Se 0.250 0.250 0.250
```



Run x
SrRuSe2 | PBE | relaxed

Values from the calculation:
Volume   82.5 Å³ per cell
Density of states at the Fermi level   0.784 states/eV/atom
Size of the total moment   0.000 μB per formula unit

The structure in CIF format:
```
data_SrRuSe2
_chemical_formula_sum 'Sr1 Ru1 Se2'
_symmetry_space_group_name_H-M 'P 4/m m m'
_symmetry_Int_Tables_number 123
_symmetry_space_group_name_Hall '-P 4 2'
_cell_length_a 4.924
_cell_length_b 4.924
_cell_length_c 3.404
_cell_angle_alpha 90.00
_cell_angle_beta 90.00
_cell_angle_gamma 90.00
loop_
_atom_site_label
_atom_site_type_symbol
_atom_site_fract_x
_atom_site_fract_y
_atom_site_fract_z
Sr1 Sr 0.000 0.000 0.000
Ru1 Ru 0.500 0.500 0.000
Se1 Se 0.000 0.500 0.500
```



Most stable structure - run x; separation to the second - 0.581 eV/atom.